Record 1
Density functional theory data (PBE) for a relaxed YPb3Cl crystal.

## Properties
Total magnetization: 0.00 μB/cell
ΔE_f (raw): 7.9 kJ/mol of atoms
E_tot: -3.8049 eV per atom

CIF file:
```
data_YPb3Cl
_chemical_formula_sum 'Y1 Pb3 Cl1'
_cell_length_a 5.484
_cell_length_b 5.484
_cell_length_c 5.484
_cell_angle_alpha 90.00
_cell_angle_beta 90.00
_cell_angle_gamma 90.00
_space_group_name_H-M_alt 'P m -3 m'
_space_group_IT_number 221
_space_group_name_Hall '-P 4 2 3'
loop_
_atom_site_label
_atom_site_type_symbol
_atom_site_fract_x
_atom_site_fract_y
_atom_site_fract_z
Y1 Y 0.000 0.000 0.000
Pb1 Pb 0.000 0.500 0.500
Cl1 Cl 0.500 0.500 0.500
```

Record 2
Density functional theory data (PBE) for a relaxed YPbCl2 crystal.

## Properties
Total magnetization: 0.35 μB/cell
ΔE_f (raw): -100.3 kJ/mol of atoms
E_tot: -4.5059 eV per atom

CIF file:
```
data_YPbCl2
_chemical_formula_sum 'Y1 Pb1 Cl2'
_cell_length_a 3.510
_cell_length_b 4.792
_cell_length_c 6.008
_cell_angle_alpha 90.00
_cell_angle_beta 90.00
_cell_angle_gamma 90.00
_space_group_name_H-M_alt 'P m m m'
_space_group_IT_number 47
_space_group_name_Hall '-P 2 2'
loop_
_atom_site_label
_atom_site_type_symbol
_atom_site_fract_x
_atom_site_fract_y
_atom_site_fract_z
Y1 Y 0.000 0.000 0.000
Pb1 Pb 0.500 0.000 0.500
Cl1 Cl 0.000 0.500 0.500
Cl2 Cl 0.500 0.500 0.000
```

Record 3
Density functional theory data (PBE) for a relaxed YPbCl2 crystal.

## Properties
Total magnetization: 0.00 μB/cell
ΔE_f (raw): -97.6 kJ/mol of atoms
E_tot: -4.4780 eV per atom

CIF file:
```
data_YPbCl2
_chemical_formula_sum 'Y4 Pb4 Cl8'
_cell_length_a 4.780
_cell_length_b 4.780
_cell_length_c 19.189
_cell_angle_alpha 90.00
_cell_angle_beta 90.00
_cell_angle_gamma 90.00
_space_group_name_H-M_alt 'I -4 2 d'
_space_group_IT_number 122
_space_group_name_Hall 'I -4 2bw'
loop_
_atom_site_label
_atom_site_type_symbol
_atom_site_fract_x
_atom_site_fract_y
_atom_site_fract_z
Y1 Y 0.000 0.000 0.000
Pb1 Pb 0.000 0.000 0.500
Cl1 Cl 0.215 0.250 0.125
```

Record 4
Density functional theory data (PBE) for a relaxed YPbCl2 crystal.

## Properties
Total magnetization: 0.00 μB/cell
ΔE_f (raw): -111.8 kJ/mol of atoms
E_tot: -4.6248 eV per atom

CIF file:
```
data_YPbCl2
_chemical_formula_sum 'Y1 Pb1 Cl2'
_cell_length_a 3.843
_cell_length_b 3.843
_cell_length_c 7.156
_cell_angle_alpha 90.00
_cell_angle_beta 90.00
_cell_angle_gamma 90.00
_space_group_name_H-M_alt 'P 4 m m'
_space_group_IT_number 99
_space_group_name_Hall 'P 4 -2'
loop_
_atom_site_label
_atom_site_type_symbol
_atom_site_fract_x
_atom_site_fract_y
_atom_site_fract_z
Y1 Y 0.000 0.000 0.000
Pb1 Pb 0.500 0.500 0.673
Cl1 Cl 0.000 0.000 0.367
Cl2 Cl 0.500 0.500 0.097
```

Record 5
Density functional theory data (PBE) for a relaxed YPbCl crystal.

## Properties
Total magnetization: 0.08 μB/cell
ΔE_f (raw): -104.2 kJ/mol of atoms
E_tot: -5.0859 eV per atom

CIF file:
```
data_YPbCl
_chemical_formula_sum 'Y2 Pb2 Cl2'
_cell_length_a 3.637
_cell_length_b 6.415
_cell_length_c 8.226
_cell_angle_alpha 73.65
_cell_angle_beta 77.23
_cell_angle_gamma 89.93
_space_group_name_H-M_alt 'P -1'
_space_group_IT_number 2
_space_group_name_Hall '-P 1'
loop_
_atom_site_label
_atom_site_type_symbol
_atom_site_fract_x
_atom_site_fract_y
_atom_site_fract_z
Y1 Y 0.141 0.083 0.217
Pb1 Pb 0.493 0.740 0.517
Cl1 Cl 0.228 0.752 0.046
```

Record 6
Density functional theory data (PBE) for a relaxed YPb2Cl crystal.

## Properties
Total magnetization: 0.00 μB/cell
ΔE_f (raw): -67.0 kJ/mol of atoms
E_tot: -4.6266 eV per atom

CIF file:
```
data_YPb2Cl
_chemical_formula_sum 'Y1 Pb2 Cl1'
_cell_length_a 3.842
_cell_length_b 3.896
_cell_length_c 9.082
_cell_angle_alpha 90.00
_cell_angle_beta 101.84
_cell_angle_gamma 90.00
_space_group_name_H-M_alt 'P 1 m 1'
_space_group_IT_number 6
_space_group_name_Hall 'P -2y'
loop_
_atom_site_label
_atom_site_type_symbol
_atom_site_fract_x
_atom_site_fract_y
_atom_site_fract_z
Y1 Y 0.000 0.000 0.000
Pb1 Pb 0.396 0.500 0.785
Pb2 Pb 0.798 0.000 0.583
Cl1 Cl 0.099 0.500 0.204
```

Record 7
Density functional theory data (PBE) for a relaxed YPbCl3 crystal.

## Properties
Total magnetization: 1.86 μB/cell
ΔE_f (raw): -48.3 kJ/mol of atoms
E_tot: -3.6432 eV per atom

CIF file:
```
data_YPbCl3
_chemical_formula_sum 'Y1 Pb1 Cl3'
_cell_length_a 5.626
_cell_length_b 5.626
_cell_length_c 5.626
_cell_angle_alpha 90.00
_cell_angle_beta 90.00
_cell_angle_gamma 90.00
_space_group_name_H-M_alt 'P m -3 m'
_space_group_IT_number 221
_space_group_name_Hall '-P 4 2 3'
loop_
_atom_site_label
_atom_site_type_symbol
_atom_site_fract_x
_atom_site_fract_y
_atom_site_fract_z
Y1 Y 0.000 0.000 0.000
Pb1 Pb 0.500 0.500 0.500
Cl1 Cl 0.000 0.500 0.500
```

Record 8
Density functional theory data (PBE) for a relaxed YPbCl crystal.

## Properties
Total magnetization: 0.00 μB/cell
ΔE_f (raw): -91.9 kJ/mol of atoms
E_tot: -4.9583 eV per atom

CIF file:
```
data_YPbCl
_chemical_formula_sum 'Y2 Pb2 Cl2'
_cell_length_a 3.544
_cell_length_b 3.544
_cell_length_c 13.111
_cell_angle_alpha 90.00
_cell_angle_beta 90.00
_cell_angle_gamma 90.00
_space_group_name_H-M_alt 'I 4 m m'
_space_group_IT_number 107
_space_group_name_Hall 'I 4 -2'
loop_
_atom_site_label
_atom_site_type_symbol
_atom_site_fract_x
_atom_site_fract_y
_atom_site_fract_z
Y1 Y 0.000 0.000 0.000
Pb1 Pb 0.000 0.000 0.686
Cl1 Cl 0.000 0.000 0.405
```

Record 9
Density functional theory data (PBE) for a relaxed YPb2Cl crystal.

## Properties
Total magnetization: 0.00 μB/cell
ΔE_f (raw): -45.3 kJ/mol of atoms
E_tot: -4.4014 eV per atom

CIF file:
```
data_YPb2Cl
_chemical_formula_sum 'Y2 Pb4 Cl2'
_cell_length_a 7.081
_cell_length_b 8.977
_cell_length_c 3.494
_cell_angle_alpha 90.00
_cell_angle_beta 90.00
_cell_angle_gamma 90.00
_space_group_name_H-M_alt 'C m m m'
_space_group_IT_number 65
_space_group_name_Hall '-C 2 2'
loop_
_atom_site_label
_atom_site_type_symbol
_atom_site_fract_x
_atom_site_fract_y
_atom_site_fract_z
Y1 Y 0.000 0.000 0.000
Pb1 Pb 0.250 0.250 0.500
Cl1 Cl 0.000 0.500 0.000
```

Record 10
Density functional theory data (PBE) for a relaxed YPbCl2 crystal.

## Properties
Total magnetization: 0.00 μB/cell
ΔE_f (raw): -105.3 kJ/mol of atoms
E_tot: -4.5575 eV per atom

CIF file:
```
data_YPbCl2
_chemical_formula_sum 'Y1 Pb1 Cl2'
_cell_length_a 3.862
_cell_length_b 4.797
_cell_length_c 5.755
_cell_angle_alpha 90.00
_cell_angle_beta 90.63
_cell_angle_gamma 90.00
_space_group_name_H-M_alt 'P 1 2/m 1'
_space_group_IT_number 10
_space_group_name_Hall '-P 2y'
loop_
_atom_site_label
_atom_site_type_symbol
_atom_site_fract_x
_atom_site_fract_y
_atom_site_fract_z
Y1 Y 0.000 0.000 0.000
Pb1 Pb 0.500 0.000 0.500
Cl1 Cl 0.184 0.500 0.767
```

Record 11
Density functional theory data (PBE) for a relaxed YPbCl2 crystal.

## Properties
Total magnetization: 2.15 μB/cell
ΔE_f (raw): -93.6 kJ/mol of atoms
E_tot: -4.4365 eV per atom

CIF file:
```
data_YPbCl2
_chemical_formula_sum 'Y3 Pb3 Cl6'
_cell_length_a 3.7480
_cell_length_b 3.7480
_cell_length_c 29.1831
_cell_angle_alpha 90.00
_cell_angle_beta 90.00
_cell_angle_gamma 120.00
_space_group_name_H-M_alt 'R 3 m'
_space_group_IT_number 160
_space_group_name_Hall 'R 3 -2"'
loop_
_atom_site_label
_atom_site_type_symbol
_atom_site_fract_x
_atom_site_fract_y
_atom_site_fract_z
Y1 Y 0.0000 0.0000 0.0000
Pb1 Pb 0.0000 0.0000 0.2399
Cl1 Cl 0.0000 0.0000 0.5055
Cl2 Cl 0.0000 0.0000 0.7255
```

Record 12
Density functional theory data (PBE) for a relaxed Y2PbCl2 crystal.

## Properties
Total magnetization: 0.00 μB/cell
ΔE_f (raw): -119.7 kJ/mol of atoms
E_tot: -5.3066 eV per atom

CIF file:
```
data_Y2PbCl2
_chemical_formula_sum 'Y4 Pb2 Cl4'
_cell_length_a 4.273
_cell_length_b 4.273
_cell_length_c 14.274
_cell_angle_alpha 90.00
_cell_angle_beta 90.00
_cell_angle_gamma 90.00
_space_group_name_H-M_alt 'I 4/m m m'
_space_group_IT_number 139
_space_group_name_Hall '-I 4 2'
loop_
_atom_site_label
_atom_site_type_symbol
_atom_site_fract_x
_atom_site_fract_y
_atom_site_fract_z
Y1 Y 0.000 0.000 0.121
Pb1 Pb 0.000 0.000 0.500
Cl1 Cl 0.000 0.500 0.250
```

Record 13
Density functional theory data (PBE) for a relaxed YPbCl crystal.

## Properties
Total magnetization: 0.51 μB/cell
ΔE_f (raw): -73.6 kJ/mol of atoms
E_tot: -4.7688 eV per atom

CIF file:
```
data_YPbCl
_chemical_formula_sum 'Y1 Pb1 Cl1'
_cell_length_a 4.8788
_cell_length_b 4.8788
_cell_length_c 3.9413
_cell_angle_alpha 90.00
_cell_angle_beta 90.00
_cell_angle_gamma 120.00
_space_group_name_H-M_alt 'P -6 m 2'
_space_group_IT_number 187
_space_group_name_Hall 'P -6 2'
loop_
_atom_site_label
_atom_site_type_symbol
_atom_site_fract_x
_atom_site_fract_y
_atom_site_fract_z
Y1 Y 0.0000 0.0000 0.0000
Pb1 Pb 0.3333 0.6667 0.5000
Cl1 Cl 0.6667 0.3333 0.0000
```

Record 14
Density functional theory data (PBE) for a relaxed Y2PbCl crystal.

## Properties
Total magnetization: 0.00 μB/cell
ΔE_f (raw): -48.8 kJ/mol of atoms
E_tot: -5.1270 eV per atom

CIF file:
```
data_Y2PbCl
_chemical_formula_sum 'Y8 Pb4 Cl4'
_cell_length_a 5.982
_cell_length_b 5.982
_cell_length_c 15.418
_cell_angle_alpha 90.00
_cell_angle_beta 90.00
_cell_angle_gamma 90.00
_space_group_name_H-M_alt 'I -4 2 d'
_space_group_IT_number 122
_space_group_name_Hall 'I -4 2bw'
loop_
_atom_site_label
_atom_site_type_symbol
_atom_site_fract_x
_atom_site_fract_y
_atom_site_fract_z
Y1 Y 0.208 0.250 0.125
Pb1 Pb 0.000 0.000 0.500
Cl1 Cl 0.000 0.000 0.000
```

Record 15
Density functional theory data (PBE) for a relaxed YPbCl crystal.

## Properties
Total magnetization: 7.82 μB/cell
ΔE_f (raw): -34.4 kJ/mol of atoms
E_tot: -4.3631 eV per atom

CIF file:
```
data_YPbCl
_chemical_formula_sum 'Y4 Pb4 Cl4'
_cell_length_a 7.323
_cell_length_b 7.323
_cell_length_c 7.323
_cell_angle_alpha 90.00
_cell_angle_beta 90.00
_cell_angle_gamma 90.00
_space_group_name_H-M_alt 'F -4 3 m'
_space_group_IT_number 216
_space_group_name_Hall 'F -4 2 3'
loop_
_atom_site_label
_atom_site_type_symbol
_atom_site_fract_x
_atom_site_fract_y
_atom_site_fract_z
Y1 Y 0.000 0.000 0.000
Pb1 Pb 0.250 0.250 0.750
Cl1 Cl 0.250 0.250 0.250
```

Record 16
Density functional theory data (PBE) for a relaxed YPb2Cl crystal.

## Properties
Total magnetization: 0.00 μB/cell
ΔE_f (raw): -50.5 kJ/mol of atoms
E_tot: -4.4555 eV per atom

CIF file:
```
data_YPb2Cl
_chemical_formula_sum 'Y1 Pb2 Cl1'
_cell_length_a 3.712
_cell_length_b 5.941
_cell_length_c 5.461
_cell_angle_alpha 90.00
_cell_angle_beta 91.84
_cell_angle_gamma 90.00
_space_group_name_H-M_alt 'P 1 2/m 1'
_space_group_IT_number 10
_space_group_name_Hall '-P 2y'
loop_
_atom_site_label
_atom_site_type_symbol
_atom_site_fract_x
_atom_site_fract_y
_atom_site_fract_z
Y1 Y 0.000 0.000 0.000
Pb1 Pb 0.288 0.500 0.236
Cl1 Cl 0.000 0.000 0.500
```

Record 17
Density functional theory data (PBE) for a relaxed YPbCl2 crystal.

## Properties
Total magnetization: 0.00 μB/cell
ΔE_f (raw): -119.5 kJ/mol of atoms
E_tot: -4.7047 eV per atom

CIF file:
```
data_YPbCl2
_chemical_formula_sum 'Y1 Pb1 Cl2'
_cell_length_a 3.333
_cell_length_b 3.333
_cell_length_c 11.771
_cell_angle_alpha 90.00
_cell_angle_beta 90.00
_cell_angle_gamma 90.00
_space_group_name_H-M_alt 'P 4/m m m'
_space_group_IT_number 123
_space_group_name_Hall '-P 4 2'
loop_
_atom_site_label
_atom_site_type_symbol
_atom_site_fract_x
_atom_site_fract_y
_atom_site_fract_z
Y1 Y 0.000 0.000 0.000
Pb1 Pb 0.000 0.000 0.500
Cl1 Cl 0.500 0.500 0.135
```

Record 18
Density functional theory data (PBE) for a relaxed YPbCl2 crystal.

## Properties
Total magnetization: 0.00 μB/cell
ΔE_f (raw): -83.2 kJ/mol of atoms
E_tot: -4.3286 eV per atom

CIF file:
```
data_YPbCl2
_chemical_formula_sum 'Y2 Pb2 Cl4'
_cell_length_a 3.948
_cell_length_b 6.292
_cell_length_c 9.726
_cell_angle_alpha 90.00
_cell_angle_beta 90.00
_cell_angle_gamma 90.00
_space_group_name_H-M_alt 'C m m 2'
_space_group_IT_number 35
_space_group_name_Hall 'C 2 -2'
loop_
_atom_site_label
_atom_site_type_symbol
_atom_site_fract_x
_atom_site_fract_y
_atom_site_fract_z
Y1 Y 0.000 0.000 0.000
Pb1 Pb 0.000 0.500 0.276
Cl1 Cl 0.000 0.000 0.485
Cl2 Cl 0.000 0.500 0.819
```

Record 19
Density functional theory data (PBE) for a relaxed YPb2Cl crystal.

## Properties
Total magnetization: 0.00 μB/cell
ΔE_f (raw): -23.8 kJ/mol of atoms
E_tot: -4.1785 eV per atom

CIF file:
```
data_YPb2Cl
_chemical_formula_sum 'Y3 Pb6 Cl3'
_cell_length_a 3.6517
_cell_length_b 3.6517
_cell_length_c 30.1529
_cell_angle_alpha 90.00
_cell_angle_beta 90.00
_cell_angle_gamma 120.00
_space_group_name_H-M_alt 'R -3 m'
_space_group_IT_number 166
_space_group_name_Hall '-R 3 2"'
loop_
_atom_site_label
_atom_site_type_symbol
_atom_site_fract_x
_atom_site_fract_y
_atom_site_fract_z
Y1 Y 0.0000 0.0000 0.0000
Pb1 Pb 0.0000 0.0000 0.2448
Cl1 Cl 0.0000 0.0000 0.5000
```

Record 20
Density functional theory data (PBE) for a relaxed YPbCl2 crystal.

## Properties
Total magnetization: 0.00 μB/cell
ΔE_f (raw): -123.6 kJ/mol of atoms
E_tot: -4.7472 eV per atom

CIF file:
```
data_YPbCl2
_chemical_formula_sum 'Y3 Pb3 Cl6'
_cell_length_a 3.5679
_cell_length_b 3.5679
_cell_length_c 31.1391
_cell_angle_alpha 90.00
_cell_angle_beta 90.00
_cell_angle_gamma 120.00
_space_group_name_H-M_alt 'R -3 m'
_space_group_IT_number 166
_space_group_name_Hall '-R 3 2"'
loop_
_atom_site_label
_atom_site_type_symbol
_atom_site_fract_x
_atom_site_fract_y
_atom_site_fract_z
Y1 Y 0.0000 0.0000 0.0000
Pb1 Pb 0.0000 0.0000 0.5000
Cl1 Cl 0.0000 0.0000 0.3910
```